Material: Sr2TaCu
Method: DFT, GGA-PBEsol
State: relaxed

```
Sr2TaCu
1.0
-0.162 -0.640 3.315
3.355 -0.395 0.088
1.029 9.132 1.813
Cu Sr Ta
1 2 1
Direct
0.500 0.500 0.689
0.000 0.000 0.926
0.500 0.500 0.312
0.000 0.000 0.573
```

Values from the calculation:
- formation energy from the elements (eV/f.u.) = 2.06
- space-group type = P4mm, No. 99
- distance to the lowest polymorph of the same formula (meV/atom) = 0
- DOS(E_F) (states/eV/f.u.) = 4.57